This record from Alexandria via LeMat-Bulk describes a relaxed structure of CsNa2Si17. The functional is GGA-PBE.

Cell lengths 14.8310, 14.8310, 14.8310 Å; angles 90.00, 90.00, 90.00 degrees
With the nearest neighbours (Å) after each atom.
Space group Fd-3m (No. 227, origin choice 2)
One atom of each set of equivalent atoms:
Cs1 0.1250 0.1250 0.1250 x8  28 Si 3.97-4.05
Na1 0.0000 0.0000 0.5000 x16  20 Si 3.21-3.39
Si1 0.0328 0.0328 0.7172 x32  4 Si 2.37-2.38
Si2 0.0677 0.0677 0.8700 x96  4 Si 2.38-2.40
Si3 0.1250 0.1250 0.6250 x8  4 Si 2.37

Output
As for the theoretical density: 2.67 g/cm³. For the raw formation energy, the calculation gives -47 meV per atom. The density of states at the Fermi level comes out at 0.285 states/eV/atom.